The following is a DFT calculation (SCAN) of a PBEsol-optimized structure of KPH6C2N4O4.

crystal system: orthorhombic
symmetry: No. 43
total moment: 0.00 Bohr magnetons per cell
DFT total energy: -7.767 eV/atom

Unit cell a=8.329 b=7.584 c=8.095 alpha=64.08 beta=54.97 gamma=60.94
Fractional positions:
K  0.000  0.000  0.000
K  0.250  0.250  0.250
P  0.321  0.321  0.679
P  0.571  0.571  0.929
H  0.070  0.900  0.384
H  0.147  0.626  0.437
H  0.303  0.572  0.792
H  0.458  0.917  0.947
H  0.460  0.813  0.624
H  0.572  0.303  0.333
H  0.603  0.866  0.350
H  0.626  0.147  0.790
H  0.813  0.460  0.103
H  0.866  0.603  0.180
H  0.900  0.070  0.647
H  0.917  0.458  0.678
C  0.184  0.748  0.591
C  0.659  0.773  0.066
C  0.748  0.184  0.477
C  0.773  0.659  0.502
N  0.145  0.756  0.449
N  0.263  0.560  0.698
N  0.552  0.770  0.987
N  0.560  0.263  0.480
N  0.600  0.801  0.494
N  0.756  0.145  0.650
N  0.770  0.552  0.690
N  0.801  0.600  0.105
O  0.152  0.913  0.627
O  0.180  0.327  0.615
O  0.327  0.180  0.878
O  0.372  0.635  0.923
O  0.623  0.942  0.098
O  0.635  0.372  0.070
O  0.913  0.152  0.308
O  0.942  0.623  0.337

***

The following is a DFT calculation (SCAN) of a PBEsol-optimized structure of KPH5C2SN3O4.

crystal system: triclinic
symmetry: No. 2
total moment: 0.01 Bohr magnetons per cell
DFT total energy: -7.952 eV/atom

Unit cell a=6.133 b=6.752 c=10.654 alpha=90.73 beta=102.72 gamma=101.15
Fractional positions:
K  0.001  0.337  0.322
K  0.999  0.663  0.678
P  0.452  0.234  0.724
P  0.548  0.766  0.276
H  0.059  0.859  0.975
H  0.394  0.689  0.494
H  0.406  0.430  0.899
H  0.472  0.579  0.621
H  0.492  0.101  0.320
H  0.508  0.899  0.680
H  0.528  0.421  0.379
H  0.594  0.570  0.101
H  0.606  0.311  0.506
H  0.941  0.141  0.025
C  0.262  0.992  0.151
C  0.323  0.705  0.027
C  0.677  0.295  0.973
C  0.738  0.008  0.849
S  0.128  0.170  0.641
S  0.872  0.830  0.359
N  0.201  0.848  0.050
N  0.436  0.976  0.250
N  0.498  0.320  0.879
N  0.502  0.680  0.121
N  0.564  0.024  0.750
N  0.799  0.152  0.950
O  0.158  0.136  0.146
O  0.266  0.609  0.920
O  0.396  0.617  0.343
O  0.397  0.695  0.589
O  0.603  0.305  0.411
O  0.604  0.383  0.657
O  0.734  0.391  0.080
O  0.842  0.864  0.854

***

The following is a DFT calculation (SCAN) of a PBEsol-optimized structure of K2H2C2S2N2O.

crystal system: orthorhombic
symmetry: No. 62
total moment: 0.00 Bohr magnetons per cell
DFT total energy: -8.612 eV/atom

Unit cell a=10.390 b=7.876 c=9.588 alpha=90.00 beta=90.00 gamma=90.00
Fractional positions:
K  0.168  0.001  0.229
K  0.168  0.499  0.229
K  0.332  0.501  0.729
K  0.332  0.999  0.729
K  0.668  0.001  0.271
K  0.668  0.499  0.271
K  0.832  0.501  0.771
K  0.832  0.999  0.771
H  0.008  0.250  0.981
H  0.052  0.250  0.821
H  0.448  0.750  0.321
H  0.492  0.750  0.481
H  0.508  0.250  0.519
H  0.552  0.250  0.679
H  0.948  0.750  0.179
H  0.992  0.750  0.019
C  0.065  0.750  0.620
C  0.095  0.250  0.551
C  0.405  0.750  0.051
C  0.435  0.250  0.120
C  0.565  0.750  0.880
C  0.595  0.250  0.949
C  0.905  0.750  0.449
C  0.935  0.250  0.380
S  0.092  0.750  0.797
S  0.190  0.750  0.504
S  0.310  0.250  0.004
S  0.408  0.250  0.297
S  0.592  0.750  0.703
S  0.690  0.750  0.996
S  0.810  0.250  0.496
S  0.908  0.250  0.203
N  0.060  0.250  0.421
N  0.141  0.250  0.664
N  0.359  0.750  0.164
N  0.440  0.750  0.921
N  0.560  0.250  0.079
N  0.641  0.250  0.836
N  0.859  0.750  0.336
N  0.940  0.750  0.579
O  0.024  0.750  0.115
O  0.476  0.250  0.615
O  0.524  0.750  0.385
O  0.976  0.250  0.885

***

The following is a DFT calculation (SCAN) of a PBEsol-optimized structure of KHCS2N.

crystal system: orthorhombic
symmetry: No. 60
total moment: 0.00 Bohr magnetons per cell
DFT total energy: -8.768 eV/atom

Unit cell a=12.886 b=6.639 c=10.696 alpha=90.00 beta=90.00 gamma=90.00
Fractional positions:
K  0.144  0.200  0.044
K  0.144  0.800  0.544
K  0.356  0.300  0.544
K  0.356  0.700  0.044
K  0.644  0.300  0.956
K  0.644  0.700  0.456
K  0.856  0.200  0.456
K  0.856  0.800  0.956
H  0.029  0.486  0.875
H  0.029  0.514  0.375
H  0.471  0.014  0.375
H  0.471  0.986  0.875
H  0.529  0.014  0.125
H  0.529  0.986  0.625
H  0.971  0.486  0.625
H  0.971  0.514  0.125
C  0.095  0.286  0.646
C  0.095  0.714  0.146
C  0.405  0.214  0.146
C  0.405  0.786  0.646
C  0.595  0.214  0.354
C  0.595  0.786  0.854
C  0.905  0.286  0.854
C  0.905  0.714  0.354
S  0.115  0.290  0.487
S  0.115  0.710  0.987
S  0.170  0.150  0.744
S  0.170  0.850  0.244
S  0.330  0.350  0.244
S  0.330  0.650  0.744
S  0.385  0.210  0.987
S  0.385  0.790  0.487
S  0.615  0.210  0.513
S  0.615  0.790  0.013
S  0.670  0.350  0.256
S  0.670  0.650  0.756
S  0.830  0.150  0.756
S  0.830  0.850  0.256
S  0.885  0.290  0.013
S  0.885  0.710  0.513
N  0.015  0.400  0.689
N  0.015  0.600  0.189
N  0.485  0.100  0.189
N  0.485  0.900  0.689
N  0.515  0.100  0.311
N  0.515  0.900  0.811
N  0.985  0.400  0.811
N  0.985  0.600  0.311

***

The following is a DFT calculation (SCAN) of a PBEsol-optimized structure of K3NdH6C6O15.

crystal system: triclinic
symmetry: No. 2
total moment: 0.00 Bohr magnetons per cell
DFT total energy: -9.452 eV/atom

Unit cell a=8.515 b=9.297 c=9.685 alpha=98.55 beta=91.46 gamma=95.20
Fractional positions:
K  0.047  0.315  0.386
K  0.294  0.135  0.111
K  0.355  0.799  0.303
K  0.645  0.201  0.697
K  0.706  0.865  0.889
K  0.953  0.685  0.614
Nd  0.228  0.355  0.776
Nd  0.772  0.645  0.224
H  0.144  0.859  0.967
H  0.263  0.111  0.518
H  0.272  0.755  0.995
H  0.370  0.251  0.492
H  0.373  0.007  0.790
H  0.422  0.880  0.679
H  0.578  0.120  0.321
H  0.627  0.993  0.210
H  0.630  0.749  0.508
H  0.728  0.245  0.005
H  0.737  0.889  0.482
H  0.856  0.141  0.033
C  0.033  0.457  0.055
C  0.038  0.926  0.319
C  0.072  0.021  0.790
C  0.325  0.616  0.600
C  0.470  0.576  0.001
C  0.490  0.576  0.650
C  0.510  0.424  0.350
C  0.530  0.424  0.999
C  0.675  0.384  0.400
C  0.928  0.979  0.210
C  0.962  0.074  0.681
C  0.967  0.543  0.945
O  0.004  0.795  0.343
O  0.012  0.512  0.821
O  0.029  0.904  0.833
O  0.127  0.363  0.015
O  0.150  0.015  0.374
O  0.199  0.103  0.827
O  0.211  0.516  0.598
O  0.219  0.840  0.041
O  0.314  0.740  0.567
O  0.327  0.198  0.569
O  0.344  0.584  0.932
O  0.391  0.336  0.357
O  0.449  0.315  0.928
O  0.466  0.960  0.754
O  0.488  0.456  0.696
O  0.512  0.544  0.304
O  0.534  0.040  0.246
O  0.551  0.685  0.072
O  0.609  0.664  0.643
O  0.656  0.416  0.068
O  0.673  0.802  0.431
O  0.686  0.260  0.433
O  0.781  0.160  0.959
O  0.789  0.484  0.402
O  0.801  0.897  0.173
O  0.850  0.985  0.626
O  0.873  0.637  0.985
O  0.971  0.096  0.167
O  0.988  0.488  0.179
O  0.996  0.205  0.657

***

The following is a DFT calculation (SCAN) of a PBEsol-optimized structure of K2NiH8C2O10.

crystal system: monoclinic
symmetry: No. 14
total moment: 3.80 Bohr magnetons per cell
DFT total energy: -7.614 eV/atom

Unit cell a=6.774 b=6.155 c=12.073 alpha=90.00 beta=114.88 gamma=90.00
Fractional positions:
K  0.231  0.151  0.319
K  0.231  0.349  0.819
K  0.769  0.651  0.181
K  0.769  0.849  0.681
Ni  0.000  0.000  0.000
Ni  0.000  0.500  0.500
H  0.198  0.657  0.369
H  0.198  0.843  0.869
H  0.207  0.695  0.987
H  0.207  0.805  0.487
H  0.293  0.175  0.578
H  0.293  0.325  0.078
H  0.427  0.103  0.110
H  0.427  0.397  0.610
H  0.573  0.603  0.390
H  0.573  0.897  0.890
H  0.707  0.675  0.922
H  0.707  0.825  0.422
H  0.793  0.195  0.513
H  0.793  0.305  0.013
H  0.802  0.157  0.131
H  0.802  0.343  0.631
C  0.258  0.654  0.184
C  0.258  0.846  0.684
C  0.742  0.154  0.316
C  0.742  0.346  0.816
O  0.106  0.723  0.409
O  0.106  0.777  0.909
O  0.126  0.684  0.656
O  0.126  0.816  0.156
O  0.286  0.169  0.049
O  0.286  0.331  0.549
O  0.320  0.563  0.290
O  0.320  0.937  0.790
O  0.331  0.580  0.107
O  0.331  0.920  0.607
O  0.669  0.080  0.393
O  0.669  0.420  0.893
O  0.680  0.063  0.210
O  0.680  0.437  0.710
O  0.714  0.669  0.451
O  0.714  0.831  0.951
O  0.874  0.184  0.844
O  0.874  0.316  0.344
O  0.894  0.223  0.091
O  0.894  0.277  0.591

***

The following is a DFT calculation (SCAN) of a PBEsol-optimized structure of KHCO3.

crystal system: monoclinic
symmetry: No. 14
total moment: 0.00 Bohr magnetons per cell
DFT total energy: -8.403 eV/atom

Unit cell a=3.670 b=5.609 c=14.990 alpha=90.00 beta=103.15 gamma=90.00
Fractional positions:
K  0.044  0.023  0.166
K  0.044  0.477  0.666
K  0.956  0.523  0.334
K  0.956  0.977  0.834
H  0.490  0.690  0.010
H  0.490  0.810  0.510
H  0.510  0.190  0.490
H  0.510  0.310  0.990
C  0.391  0.515  0.118
C  0.391  0.985  0.618
C  0.609  0.015  0.382
C  0.609  0.485  0.882
O  0.296  0.529  0.194
O  0.296  0.971  0.694
O  0.438  0.720  0.076
O  0.438  0.780  0.576
O  0.446  0.183  0.580
O  0.446  0.317  0.080
O  0.554  0.683  0.920
O  0.554  0.817  0.420
O  0.562  0.220  0.424
O  0.562  0.280  0.924
O  0.704  0.029  0.306
O  0.704  0.471  0.806

***

The following is a DFT calculation (SCAN) of a PBEsol-optimized structure of K4H6C2O9.

crystal system: monoclinic
symmetry: No. 15
total moment: 0.00 Bohr magnetons per cell
DFT total energy: -7.778 eV/atom

Unit cell a=8.959 b=8.959 c=7.110 alpha=109.71 beta=109.71 gamma=96.19
Fractional positions:
K  0.115  0.885  0.750
K  0.184  0.816  0.250
K  0.214  0.500  0.464
K  0.500  0.214  0.964
K  0.500  0.786  0.036
K  0.786  0.500  0.536
K  0.816  0.184  0.750
K  0.885  0.115  0.250
H  0.137  0.284  0.048
H  0.144  0.204  0.628
H  0.204  0.144  0.128
H  0.284  0.137  0.548
H  0.372  0.485  0.155
H  0.485  0.372  0.655
H  0.515  0.628  0.345
H  0.628  0.515  0.845
H  0.716  0.863  0.452
H  0.796  0.856  0.872
H  0.856  0.796  0.372
H  0.863  0.716  0.952
C  0.135  0.479  0.849
C  0.479  0.135  0.349
C  0.521  0.865  0.651
C  0.865  0.521  0.151
O  0.051  0.354  0.665
O  0.105  0.188  0.084
O  0.175  0.622  0.853
O  0.178  0.457  0.031
O  0.188  0.105  0.584
O  0.354  0.051  0.165
O  0.378  0.825  0.647
O  0.457  0.178  0.531
O  0.492  0.508  0.250
O  0.508  0.492  0.750
O  0.543  0.822  0.469
O  0.622  0.175  0.353
O  0.646  0.949  0.835
O  0.812  0.895  0.416
O  0.822  0.543  0.969
O  0.825  0.378  0.147
O  0.895  0.812  0.916
O  0.949  0.646  0.335

***

| no. | N(E_F) (states/eV/atom) |
| --- | --- |
| 1 | 0.000 |
| 2 | 0.000 |
| 3 | 0.000 |
| 4 | 0.000 |
| 5 | 0.000 |
| 6 | 0.000 |
| 7 | 0.000 |
| 8 | 0.000 |